# AlBiAsBr2 | Alexandria via LeMat-Bulk | PBE-GGA | optimized geometry
# total magnetic moment	0.703	μB per formula unit
# energy relative to the lowest polymorph listed for this composition	0.302	eV per atom
# formation energy from raw total energies	0.269	eV/atom
# theoretical density	4.16	Mg/m³
data_AlBiAsBr2
_symmetry_space_group_name_H-M 'P 4/m m m'
_symmetry_Int_Tables_number 123
_symmetry_space_group_name_Hall '-P 4 2'
_cell_length_a 5.813
_cell_length_b 5.813
_cell_length_c 5.560
_cell_angle_alpha 90.00
_cell_angle_beta 90.00
_cell_angle_gamma 90.00
loop_
_atom_site_label
_atom_site_type_symbol
_atom_site_fract_x
_atom_site_fract_y
_atom_site_fract_z
_atom_site_occupancy
Al1 Al 0.000 0.000 0.000 1
Bi1 Bi 0.500 0.500 0.500 1
As1 As 0.500 0.500 0.000 1
Br1 Br 0.000 0.500 0.500 1